Record 1
Be2IrRu, optimized geometry, DFT PBE; M_tot = 0.000 μB per cell; SG = P4mm; DFT formation energy = -0.33 eV/atom; final energy = -26.9 eV for the cell shown
1.0
2.791 0.000 0.000
0.000 2.791 0.000
0.000 0.000 5.662
Be Ir Ru
2 1 1
Direct
0.000 0.000 0.000
0.500 0.500 0.192
0.000 0.000 0.431
0.500 0.500 0.759

=====

Record 2
Cr2GaMo2Ru5, optimized geometry, DFT PBE; M_tot = 0.000 μB per cell; SG = P4/mbm; DFT formation energy = 0.13 eV/atom; final energy = -177.9 eV for the cell shown
1.0
8.639 0.000 0.000
0.000 8.639 0.000
0.000 0.000 3.879
Cr Ga Mo Ru
4 2 4 10
Direct
0.138 0.362 0.000
0.362 0.862 0.000
0.638 0.138 0.000
0.862 0.638 0.000
0.000 0.000 0.000
0.500 0.500 0.000
0.157 0.657 0.000
0.343 0.157 0.000
0.657 0.843 0.000
0.843 0.343 0.000
0.000 0.500 0.500
0.077 0.198 0.500
0.198 0.923 0.500
0.302 0.423 0.500
0.423 0.698 0.500
0.500 0.000 0.500
0.577 0.302 0.500
0.698 0.577 0.500
0.802 0.077 0.500
0.923 0.802 0.500

=====

Record 3
Dy3CdHg3, optimized geometry, DFT PBE; M_tot = 0.000 μB per cell; energy relative to the lowest polymorph listed for this composition = 97 meV per atom; SG = P6_3/m; DFT formation energy = -0.28 eV/atom; final energy = -35.1 eV for the cell shown
1.0
9.033 0.000 0.000
-4.517 7.823 0.000
0.000 0.000 5.194
Dy Cd Hg
6 2 6
Direct
0.100 0.448 0.250
0.348 0.900 0.250
0.448 0.348 0.750
0.552 0.652 0.250
0.652 0.100 0.750
0.900 0.552 0.750
0.333 0.667 0.750
0.667 0.333 0.250
0.041 0.248 0.750
0.207 0.959 0.750
0.248 0.207 0.250
0.752 0.793 0.750
0.793 0.041 0.250
0.959 0.752 0.250

=====

Record 4
Sc2HgAsIr, optimized geometry, DFT PBE; M_tot = 0.000 μB per cell; SG = P4/mmm; DFT formation energy = -0.09 eV/atom; final energy = -26.9 eV for the cell shown
1.0
4.973 0.000 0.000
0.000 4.973 0.000
0.000 0.000 5.110
Sc Hg As Ir
2 1 1 1
Direct
0.000 0.500 0.000
0.500 0.000 0.000
0.000 0.000 0.500
0.500 0.500 0.500
0.000 0.000 0.000

=====

Record 5
GaS6I, optimized geometry, DFT PBE; M_tot = 0.000 μB per cell; SG = C2/m; final energy = -28.3 eV for the cell shown
1.0
3.323 -1.607 0.000
3.323 1.607 0.000
-1.796 0.000 17.543
Ga S I
1 6 1
Direct
0.000 0.000 0.000
0.100 0.100 0.787
0.345 0.345 0.079
0.423 0.423 0.295
0.577 0.577 0.705
0.655 0.655 0.921
0.900 0.900 0.213
0.000 0.000 0.500

=====

Record 6
Sr2TmGe3Au4, optimized geometry, DFT PBE; M_tot = 0.000 μB per cell; SG = P-4m2; DFT formation energy = -0.60 eV/atom; final energy = -40.8 eV for the cell shown
1.0
4.467 0.000 0.000
0.000 4.467 0.000
0.000 0.000 11.723
Sr Tm Ge Au
2 1 3 4
Direct
0.000 0.500 0.225
0.500 0.000 0.775
0.000 0.000 0.500
0.000 0.500 0.875
0.500 0.000 0.125
0.500 0.500 0.500
0.000 0.000 0.000
0.000 0.500 0.654
0.500 0.000 0.346
0.500 0.500 0.000

=====

Record 7
Cs2NbAuBr6, optimized geometry, DFT PBE; M_tot = 2.000 μB per cell; SG = I4/mmm; final energy = -35.0 eV for the cell shown
1.0
-4.158 4.158 5.263
4.158 -4.158 5.263
4.158 4.158 -5.263
Cs Nb Au Br
2 1 1 6
Direct
0.250 0.750 0.500
0.750 0.250 0.500
0.000 0.000 0.000
0.500 0.500 0.000
0.224 0.224 0.448
0.224 0.776 0.000
0.261 0.261 0.000
0.739 0.739 0.000
0.776 0.224 0.000
0.776 0.776 0.552

=====

Record 8
Dy4GaI5, optimized geometry, DFT PBE; M_tot = 0.000 μB per cell; SG = C2/m; final energy = -40.0 eV for the cell shown
1.0
9.576 -2.112 0.000
9.576 2.112 0.000
-1.885 0.000 8.583
Dy Ga I
4 1 5
Direct
0.000 0.000 0.214
0.000 0.000 0.786
0.353 0.353 0.926
0.647 0.647 0.074
0.500 0.500 0.000
0.167 0.167 0.337
0.173 0.173 0.829
0.500 0.500 0.500
0.827 0.827 0.171
0.833 0.833 0.663

=====

Record 9
BaCeIr2O8, optimized geometry, DFT PBE; M_tot = 0.000 μB per cell; SG = P-3; final energy = -82.2 eV for the cell shown
1.0
5.892 0.000 0.000
-2.946 5.103 0.000
0.000 0.000 7.711
Ba Ce Ir O
1 1 2 8
Direct
0.000 0.000 0.000
0.000 0.000 0.500
0.333 0.667 0.785
0.667 0.333 0.215
0.126 0.326 0.697
0.200 0.874 0.697
0.326 0.200 0.303
0.333 0.667 0.019
0.667 0.333 0.981
0.674 0.800 0.697
0.800 0.126 0.303
0.874 0.674 0.303

=====

Record 10
Nd4Sb3Cl, optimized geometry, DFT PBE; M_tot = 0.000 μB per cell; SG = I4/mmm; final energy = -43.3 eV for the cell shown
1.0
-3.148 3.148 6.320
3.148 -3.148 6.320
3.148 3.148 -6.320
Nd Sb Cl
4 3 1
Direct
0.000 0.500 0.500
0.244 0.244 0.000
0.500 0.000 0.500
0.756 0.756 0.000
0.000 0.000 0.000
0.250 0.750 0.500
0.750 0.250 0.500
0.500 0.500 0.000

=====

Record 11
Ni3Pd, optimized geometry, DFT PBE; M_tot = 2.245 μB per cell; SG = Pmm2; DFT formation energy = 0.08 eV/atom; final energy = -22.2 eV for the cell shown
1.0
2.605 0.000 0.000
0.000 4.192 0.000
0.000 0.000 4.471
Ni Pd
3 1
Direct
0.000 0.000 0.000
0.000 0.500 0.321
0.500 0.000 0.476
0.500 0.500 0.820

=====

Record 12
BaAl2Pt, optimized geometry, DFT PBE; M_tot = 0.000 μB per cell; SG = I4_1/amd; DFT formation energy = -0.51 eV/atom; final energy = -35.0 eV for the cell shown
1.0
-2.834 2.834 7.601
2.834 -2.834 7.601
2.834 2.834 -7.601
Ba Al Pt
2 4 2
Direct
0.375 0.625 0.750
0.625 0.375 0.250
0.000 0.000 0.000
0.000 0.000 0.500
0.000 0.500 0.000
0.500 0.000 0.500
0.125 0.875 0.250
0.875 0.125 0.750